VASP calculation (PBE) on an optimized crystal structure of NaCeMg14.

Geometry as POSCAR:
```
NaCeMg14
1.0
10.4925 0.0000 0.0000
0.0000 3.2265 5.7695
0.0000 -3.2265 5.7695
Na Ce Mg
1 1 14
direct
0.0000 0.0000 0.0000
0.0000 0.5052 0.5052
0.0000 0.0011 0.5140
0.0000 0.5140 0.0011
0.2435 0.1654 0.1654
0.2553 0.6662 0.6662
0.2584 0.1649 0.6611
0.2584 0.6611 0.1649
0.5000 0.0019 0.0019
0.5000 0.0017 0.4978
0.5000 0.4978 0.0017
0.5000 0.5019 0.5019
0.7416 0.1649 0.6611
0.7416 0.6611 0.1649
0.7447 0.6662 0.6662
0.7565 0.1654 0.1654
```

SG: Amm2, No. 38
ΔE to the lowest computed polymorph in meV/atom: 25
Energy of formation from the pure elements in meV/atom: 77